Run 1
MnCo2HgC | PBE | optimized geometry

Cell: 4.721 4.818 4.721 Å, 90.00 90.00 90.00°
Atoms (fractional coordinates):
Co  0.000  0.000  0.500
Co  0.500  0.000  0.000
Hg  0.000  0.000  0.000
Mn  0.000  0.500  0.000
C  0.500  0.500  0.500

***

Run 2
MnCo2HgC | PBE | optimized geometry

Cell: 4.544 3.638 4.544 Å, 90.00 90.00 90.00°
Atoms (fractional coordinates):
Co  0.500  0.000  0.000
Co  0.000  0.000  0.500
Mn  0.000  0.000  0.000
C  0.000  0.500  0.000
Hg  0.500  0.500  0.500

***

Which structure is the most stable? The one labeled run 2.